Entry one
PaIF3 | GGA-PBE | optimized geometry

a b c (Å): 4.6106 4.6106 4.6106
angles (deg): 90.00 90.00 90.00
Closest atoms and distances in Å follow each position.
Sites, in units of the cell vectors:
1 Pa 0.0000 0.0000 0.0000  6 F 2.31
2 I 0.5000 0.5000 0.5000  12 F 3.26
3 F 0.0000 0.0000 0.5000  2 Pa 2.31
4 F 0.0000 0.5000 0.0000  2 Pa 2.31
5 F 0.5000 0.0000 0.0000  2 Pa 2.31

Values from the calculation:
D(E_F) (states/eV per cell): 6.54
Space-group type: Pm-3m
Crystal system: cubic

=====

Entry two
PaIF3 | GGA-PBE | optimized geometry

a b c (Å): 7.6285 7.6285 7.4435
angles (deg): 103.65 103.65 32.44
Closest atoms and distances in Å follow each position.
Sites, in units of the cell vectors:
1 Pa 0.0571 0.0571 0.2868  4 F 2.04-2.28
2 Pa 0.9429 0.9429 0.7132  4 F 2.04-2.28
3 I 0.3787 0.3787 0.0223  6 F 3.37-3.48, 4 Pa 3.43-3.57, 1 I 3.65
4 I 0.6213 0.6213 0.9777  6 F 3.37-3.48, 4 Pa 3.43-3.57, 1 I 3.65
5 F 0.0782 0.0782 0.6131  2 Pa 2.28-2.37, 1 F 2.49
6 F 0.2009 0.2009 0.3531  1 Pa 2.04
7 F 0.4299 0.4299 0.6044  2 Pa 2.27
8 F 0.5701 0.5701 0.3956  2 Pa 2.27
9 F 0.7991 0.7991 0.6469  1 Pa 2.04
10 F 0.9218 0.9218 0.3869  2 Pa 2.28-2.37, 1 F 2.49

Values from the calculation:
D(E_F) (states/eV per cell): 5.48
Space-group type: C2/m
Crystal system: monoclinic

=====

List of relative energies, unit kJ/mol of atoms: entry one 12.9; entry two 0.0

=====

Entry one
PaIF2 | GGA-PBE | optimized geometry

a b c (Å): 6.1001 6.1001 6.1001
angles (deg): 40.17 40.17 40.17
Closest atoms and distances in Å follow each position.
Sites, in units of the cell vectors:
1 Pa 0.0000 0.0000 0.0000  6 F 2.47
2 I 0.5000 0.5000 0.5000  8 F 3.29-3.35
3 F 0.3044 0.3044 0.3044  3 Pa 2.47, 3 F 2.61
4 F 0.6956 0.6956 0.6956  3 Pa 2.47, 3 F 2.61

Values from the calculation:
D(E_F) (states/eV per cell): 7.84
Space-group type: R-3m
Crystal system: trigonal

=====

Entry two
PaIF2 | GGA-PBE | optimized geometry

a b c (Å): 4.4759 3.9794 5.5306
angles (deg): 90.00 102.94 90.00
Closest atoms and distances in Å follow each position.
Sites, in units of the cell vectors:
1 Pa 0.0000 0.0000 0.0000  4 F 2.34
2 I 0.5000 0.0000 0.5000  2 Pa 3.14, 4 F 3.36
3 F 0.1629 0.5000 0.8489  2 Pa 2.34, 1 F 2.45
4 F 0.8371 0.5000 0.1511  2 Pa 2.34, 1 F 2.45

Values from the calculation:
D(E_F) (states/eV per cell): 4.53
Space-group type: P2/m
Crystal system: monoclinic

=====

List of relative energies, unit kJ/mol of atoms: entry one 0.0; entry two 4.6

=====

Entry one
PbIF6 | GGA-PBE | optimized geometry

a b c (Å): 4.9091 4.9091 5.7943
angles (deg): 94.38 94.38 104.45
Closest atoms and distances in Å follow each position.
Sites, in units of the cell vectors:
1 Pb 0.0000 0.0000 0.0000  6 F 2.55-2.56
2 I 0.5000 0.5000 0.5000  6 F 2.02-2.21
3 F 0.1704 0.4938 0.2168  1 I 2.21
4 F 0.2110 0.2110 0.6428  1 I 2.02
5 F 0.4938 0.1704 0.2168  1 I 2.21
6 F 0.5062 0.8296 0.7832  1 I 2.21
7 F 0.7890 0.7890 0.3572  1 I 2.02
8 F 0.8296 0.5062 0.7832  1 I 2.21

Values from the calculation:
D(E_F) (states/eV per cell): 0.06
Space-group type: C2/m
Crystal system: monoclinic

=====

Entry two
PbIF6 | GGA-PBE | optimized geometry

a b c (Å): 7.9197 7.9197 9.0472
angles (deg): 124.58 124.58 72.74
Closest atoms and distances in Å follow each position.
Sites, in units of the cell vectors:
1 Pb 0.0000 0.5000 0.0000  6 F 2.36-2.55
2 Pb 0.5000 0.0000 0.0000  6 F 2.36-2.55
3 I 0.0000 0.5000 0.5000  4 F 2.04
4 I 0.5000 0.0000 0.5000  4 F 2.04
5 F 0.0138 0.5572 0.3141  1 I 2.04
6 F 0.2020 0.7399 0.7577  1 I 2.04
7 F 0.2601 0.7980 0.2423  1 I 2.04
8 F 0.2622 0.2622 0.5024  2 I 2.35
9 F 0.2656 0.2656 0.0294  2 Pb 2.36
10 F 0.4428 0.9862 0.6859  1 I 2.04
11 F 0.5572 0.0138 0.3141  1 I 2.04
12 F 0.7344 0.7344 0.9706  2 Pb 2.36
13 F 0.7378 0.7378 0.4976  2 I 2.35
14 F 0.7399 0.2020 0.7577  1 I 2.04
15 F 0.7980 0.2601 0.2423  1 I 2.04
16 F 0.9862 0.4428 0.6859  1 I 2.04

Values from the calculation:
D(E_F) (states/eV per cell): 3.54
Space-group type: C2/m
Crystal system: monoclinic

=====

List of relative energies, unit kJ/mol of atoms: entry one 7.7; entry two 0.0

=====

Entry one
PbIF2 | GGA-PBE | optimized geometry

a b c (Å): 10.3797 10.3797 10.3797
angles (deg): 21.13 21.13 21.13
Closest atoms and distances in Å follow each position.
Sites, in units of the cell vectors:
1 Pb 0.0000 0.0000 0.0000  6 F 2.47
2 I 0.5000 0.5000 0.5000  6 I 3.81, 2 F 3.94
3 F 0.3705 0.3705 0.3705  3 Pb 2.47
4 F 0.6295 0.6295 0.6295  3 Pb 2.47

Values from the calculation:
D(E_F) (states/eV per cell): 2.19
Space-group type: R-3m
Crystal system: trigonal

=====

Entry two
PbIF2 | GGA-PBE | optimized geometry

a b c (Å): 7.5849 7.5849 7.5849
angles (deg): 125.23 125.23 81.15
Closest atoms and distances in Å follow each position.
Sites, in units of the cell vectors:
1 Pb 0.0000 0.0000 0.0000  4 F 2.29
2 Pb 0.7500 0.2500 0.5000  4 F 2.29
3 I 0.2500 0.7500 0.5000  4 F 3.88
4 I 0.5000 0.5000 0.0000  4 F 3.88
5 F 0.3750 0.1736 0.2986  2 Pb 2.29
6 F 0.8264 0.1250 0.2014  2 Pb 2.29
7 F 0.8750 0.0764 0.7014  2 Pb 2.29
8 F 0.9236 0.6250 0.7986  2 Pb 2.29

Values from the calculation:
D(E_F) (states/eV per cell): 12.24
Space-group type: I-42d
Crystal system: tetragonal

=====

List of relative energies, unit kJ/mol of atoms: entry one 0.0; entry two 12.4

=====

Entry one
PbI2F | GGA-PBE | optimized geometry

a b c (Å): 9.6662 9.6662 9.6662
angles (deg): 144.23 144.23 51.48
Closest atoms and distances in Å follow each position.
Sites, in units of the cell vectors:
1 Pb 0.0000 0.0000 0.0000  4 I 3.14
2 Pb 0.7500 0.2500 0.5000  4 I 3.14
3 I 0.1642 0.6250 0.0392  2 F 2.92, 2 Pb 3.14
4 I 0.3750 0.4142 0.5392  2 F 2.92, 2 Pb 3.14
5 I 0.5858 0.1250 0.9608  2 F 2.92, 2 Pb 3.14
6 I 0.8750 0.8358 0.4608  2 F 2.92, 2 Pb 3.14
7 F 0.2500 0.7500 0.5000  4 I 2.92
8 F 0.5000 0.5000 0.0000  4 I 2.92

Values from the calculation:
D(E_F) (states/eV per cell): 3.82
Space-group type: I-42d
Crystal system: tetragonal

=====

Entry two
PbI2F | GGA-PBE | optimized geometry

a b c (Å): 5.4557 5.4557 5.4557
angles (deg): 60.00 60.00 60.00
Closest atoms and distances in Å follow each position.
Sites, in units of the cell vectors:
1 Pb 0.0000 0.0000 0.0000  8 I 3.34
2 I 0.2500 0.2500 0.2500  4 F 3.34, 4 Pb 3.34
3 I 0.7500 0.7500 0.7500  4 F 3.34, 4 Pb 3.34
4 F 0.5000 0.5000 0.5000  8 I 3.34

Values from the calculation:
D(E_F) (states/eV per cell): 4.87
Space-group type: Fm-3m
Crystal system: cubic

=====

List of relative energies, unit kJ/mol of atoms: entry one 8.0; entry two 0.0

=====

Entry one
Pb3IF | GGA-PBE | optimized geometry

a b c (Å): 6.0653 6.0653 6.0653
angles (deg): 90.00 90.00 90.00
Closest atoms and distances in Å follow each position.
Sites, in units of the cell vectors:
1 Pb 0.0000 0.0000 0.5000  2 I 3.03
2 Pb 0.0000 0.5000 0.0000  2 I 3.03
3 Pb 0.5000 0.0000 0.0000  2 I 3.03
4 I 0.0000 0.0000 0.0000  6 Pb 3.03
5 F 0.5000 0.5000 0.5000  12 Pb 4.29

Values from the calculation:
D(E_F) (states/eV per cell): 4.93
Space-group type: Pm-3m
Crystal system: cubic

=====

Entry two
Pb3IF | GGA-PBE | optimized geometry

a b c (Å): 5.3454 5.3454 5.3454
angles (deg): 90.00 90.00 90.00
Closest atoms and distances in Å follow each position.
Sites, in units of the cell vectors:
1 Pb 0.0000 0.0000 0.5000  2 F 2.67
2 Pb 0.0000 0.5000 0.0000  2 F 2.67
3 Pb 0.5000 0.0000 0.0000  2 F 2.67
4 I 0.5000 0.5000 0.5000  12 Pb 3.78
5 F 0.0000 0.0000 0.0000  6 Pb 2.67

Values from the calculation:
D(E_F) (states/eV per cell): 6.77
Space-group type: Pm-3m
Crystal system: cubic

=====

List of relative energies, unit kJ/mol of atoms: entry one 67.9; entry two 0.0